The following is a PBE-GGA calculation of MgPaRu2 after structural relaxation, from the Alexandria database.

The structure in POSCAR format:
```
MgPaRu2
1.0
4.4223 0.0000 0.0000
0.0000 4.4223 0.0000
0.0000 0.0000 3.5617
Mg Pa Ru
1 1 2
Direct
0.0000 0.0000 0.0000 Mg
0.5000 0.5000 0.0000 Pa
0.0000 0.5000 0.5000 Ru
0.5000 0.0000 0.5000 Ru
```

Values from the calculation:
Space group ... No. 123

The following is a PBE-GGA calculation of MgPa2Ru4 after structural relaxation, from the Alexandria database.

The structure in POSCAR format:
```
MgPa2Ru4
1.0
3.7659 -4.2359 0.0000
3.7659 4.2359 0.0000
0.0000 0.0000 4.0391
Mg Pa Ru
1 2 4
Direct
0.0000 0.0000 0.0000 Mg
0.2952 0.7048 0.5000 Pa
0.7048 0.2952 0.5000 Pa
0.0000 0.5000 0.0000 Ru
0.2413 0.2413 0.5000 Ru
0.5000 0.0000 0.0000 Ru
0.7587 0.7587 0.5000 Ru
```

Values from the calculation:
Space group ... No. 65

The following is a PBE-GGA calculation of MgPaRu4 after structural relaxation, from the Alexandria database.

The structure in POSCAR format:
```
MgPaRu4
1.0
0.0000 3.7194 3.7194
3.7194 0.0000 3.7194
3.7194 3.7194 0.0000
Mg Pa Ru
1 1 4
Direct
0.0000 0.0000 0.0000 Mg
0.2500 0.2500 0.2500 Pa
0.1235 0.6255 0.6255 Ru
0.6255 0.1235 0.6255 Ru
0.6255 0.6255 0.1235 Ru
0.6255 0.6255 0.6255 Ru
```

Values from the calculation:
Space group ... No. 216

Ordered density of states at the Fermi level results: 2.5 6.1 5.2; unit states/eV/f.u..
Ordered final energy results: -31.52 -60.05 -48.98; unit eV per cell.